Below is Pm2PrGa after structural relaxation, with properties calculated at the GGA-PBE level.

## Properties
Fermi-level density of states (states/eV/atom): 1.28
Total moment (Bohr magnetons per cell): 0.0
Energy of formation from the pure elements (eV/atom): -0.029

a = 3.5943 Å, b = 3.5943 Å, c = 34.5467 Å
α = 90.00°, β = 90.00°, γ = 120.00°
Space group R-3m (No. 166, hexagonal axes)
Unique sites:
Pm 0.0000 0.0000 0.1028
Pr 0.0000 0.0000 0.0000
Ga 0.0000 0.0000 0.5000